Material: CoSnTeO
Method: DFT, PBE with a Hubbard U
State: optimized geometry

The structure in CIF format:
```
data_CoSnTeO
_chemical_formula_sum 'Co4 Sn4 Te4 O4'
_space_group_name_H-M_alt 'P n m a'
_space_group_IT_number 62
_space_group_name_Hall '-P 2ac 2n'
_cell_length_a 6.2669
_cell_length_b 4.0437
_cell_length_c 13.8510
_cell_angle_alpha 90.00
_cell_angle_beta 90.00
_cell_angle_gamma 90.00
loop_
_atom_site_label
_atom_site_type_symbol
_atom_site_fract_x
_atom_site_fract_y
_atom_site_fract_z
_atom_site_occupancy
Co1 Co 0.1039 0.2500 0.2097 1
Sn1 Sn 0.2411 0.2500 0.9093 1
Te1 Te 0.2416 0.2500 0.6048 1
O1 O 0.2082 0.7500 0.8218 1
```

The calculation puts the offset from the most stable computed form at 25 meV per atom.



Material: CoSnTeO
Method: DFT, PBE with a Hubbard U
State: optimized geometry

The structure in CIF format:
```
data_CoSnTeO
_chemical_formula_sum 'Co4 Sn4 Te4 O4'
_space_group_name_H-M_alt 'P c a 21'
_space_group_IT_number 29
_space_group_name_Hall 'P 2c -2ac'
_cell_length_a 6.2682
_cell_length_b 9.2250
_cell_length_c 6.0989
_cell_angle_alpha 90.00
_cell_angle_beta 90.00
_cell_angle_gamma 90.00
loop_
_atom_site_label
_atom_site_type_symbol
_atom_site_fract_x
_atom_site_fract_y
_atom_site_fract_z
_atom_site_occupancy
Co1 Co 0.1112 0.0537 0.0000 1
Sn1 Sn 0.0287 0.3089 0.6103 1
Te1 Te 0.0190 0.6777 0.6051 1
O1 O 0.1014 0.0662 0.6563 1
```

The calculation puts the offset from the most stable computed form at 0 meV per atom.



Material: CoSnTeO
Method: DFT, PBE with a Hubbard U
State: optimized geometry

The structure in CIF format:
```
data_CoSnTeO
_chemical_formula_sum 'Co4 Sn4 Te4 O4'
_space_group_name_H-M_alt 'C m c 21'
_space_group_IT_number 36
_space_group_name_Hall 'C 2c -2'
_cell_length_a 3.2757
_cell_length_b 14.7762
_cell_length_c 6.7126
_cell_angle_alpha 90.00
_cell_angle_beta 90.00
_cell_angle_gamma 90.00
loop_
_atom_site_label
_atom_site_type_symbol
_atom_site_fract_x
_atom_site_fract_y
_atom_site_fract_z
_atom_site_occupancy
Co1 Co 0.0000 0.1764 0.0000 1
Sn1 Sn 0.0000 0.4762 0.8339 1
Te1 Te 0.0000 0.1764 0.5965 1
O1 O 0.0000 0.3895 0.5722 1
```

The calculation puts the offset from the most stable computed form at 171 meV per atom.



Material: CoSnTeO
Method: DFT, PBE with a Hubbard U
State: optimized geometry

The structure in CIF format:
```
data_CoSnTeO
_chemical_formula_sum 'Co2 Sn2 Te2 O2'
_space_group_name_H-M_alt 'P 4/n m m'
_space_group_IT_number 129
_cell_length_a 3.7120
_cell_length_b 3.7120
_cell_length_c 13.5795
_cell_angle_alpha 90.00
_cell_angle_beta 90.00
_cell_angle_gamma 90.00
loop_
_space_group_symop_operation_xyz
'x,y,z'
'-x,-y,-z'
'-y+1/2,x,z'
'y+1/2,-x,-z'
'-x+1/2,-y+1/2,z'
'x+1/2,y+1/2,-z'
'y,-x+1/2,z'
'-y,x+1/2,-z'
'x+1/2,-y,-z'
'-x+1/2,y,z'
'-y,-x,-z'
'y,x,z'
'-x,y+1/2,-z'
'x,-y+1/2,z'
'y+1/2,x+1/2,-z'
'-y+1/2,-x+1/2,z'
loop_
_atom_site_label
_atom_site_type_symbol
_atom_site_fract_x
_atom_site_fract_y
_atom_site_fract_z
_atom_site_occupancy
Co1 Co 0.2500 0.2500 0.0611 1
Sn1 Sn 0.2500 0.2500 0.5893 1
Te1 Te 0.2500 0.2500 0.8694 1
O1 O 0.2500 0.7500 0.5000 1
```

The calculation puts the offset from the most stable computed form at 80 meV per atom.



Material: CoSnTeO
Method: DFT, PBE with a Hubbard U
State: optimized geometry

The structure in CIF format:
```
data_CoSnTeO
_chemical_formula_sum 'Co8 Sn8 Te8 O8'
_space_group_name_H-M_alt 'P b c a'
_space_group_IT_number 61
_space_group_name_Hall '-P 2ac 2ab'
_cell_length_a 7.1407
_cell_length_b 12.2884
_cell_length_c 7.2892
_cell_angle_alpha 90.00
_cell_angle_beta 90.00
_cell_angle_gamma 90.00
loop_
_atom_site_label
_atom_site_type_symbol
_atom_site_fract_x
_atom_site_fract_y
_atom_site_fract_z
_atom_site_occupancy
Co1 Co 0.2480 0.0655 0.0099 1
Sn1 Sn 0.0727 0.2449 0.3367 1
Te1 Te 0.0041 0.5110 0.7532 1
O1 O 0.2460 0.7382 0.0713 1
```

The calculation puts the offset from the most stable computed form at 212 meV per atom.



Material: CoSn2TeO6
Method: DFT, PBE with a Hubbard U
State: optimized geometry

The structure in CIF format:
```
data_CoSn2TeO6
_chemical_formula_sum 'Co4 Sn8 Te4 O24'
_space_group_name_H-M_alt 'F m -3 m'
_space_group_IT_number 225
_space_group_name_Hall '-F 4 2 3'
_cell_length_a 7.9528
_cell_length_b 7.9528
_cell_length_c 7.9528
_cell_angle_alpha 90.00
_cell_angle_beta 90.00
_cell_angle_gamma 90.00
loop_
_atom_site_label
_atom_site_type_symbol
_atom_site_fract_x
_atom_site_fract_y
_atom_site_fract_z
_atom_site_occupancy
Co1 Co 0.0000 0.0000 0.0000 1
Sn1 Sn 0.2500 0.2500 0.2500 1
Te1 Te 0.0000 0.0000 0.5000 1
O1 O 0.0000 0.0000 0.2572 1
```

The value obtained for the total energy is -5.4634 eV per atom.



Repeat the second record exactly.
Material: CoSnTeO
Method: DFT, PBE with a Hubbard U
State: optimized geometry

The structure in CIF format:
```
data_CoSnTeO
_chemical_formula_sum 'Co4 Sn4 Te4 O4'
_space_group_name_H-M_alt 'P c a 21'
_space_group_IT_number 29
_space_group_name_Hall 'P 2c -2ac'
_cell_length_a 6.2682
_cell_length_b 9.2250
_cell_length_c 6.0989
_cell_angle_alpha 90.00
_cell_angle_beta 90.00
_cell_angle_gamma 90.00
loop_
_atom_site_label
_atom_site_type_symbol
_atom_site_fract_x
_atom_site_fract_y
_atom_site_fract_z
_atom_site_occupancy
Co1 Co 0.1112 0.0537 0.0000 1
Sn1 Sn 0.0287 0.3089 0.6103 1
Te1 Te 0.0190 0.6777 0.6051 1
O1 O 0.1014 0.0662 0.6563 1
```

The calculation puts the offset from the most stable computed form at 0 meV per atom.